1.
Pm3Pr4Tm | PBE-GGA | relaxed

Values from the calculation:
Crystal system = monoclinic
Energy relative to the elements = 0.131 eV/f.u.
Fermi-level density of states = 1.3135 states/eV/atom
ΔE to the lowest computed polymorph = 0.0 meV/atom

a = 24.616 Å, b = 3.679 Å, c = 6.363 Å
α = 90.00°, β = 104.95°, γ = 90.00°
Space group C2/m (No. 12)
Asymmetric unit:
Pm  0.000  0.000  0.000 [2 per cell]
Pm  0.249  0.500  0.749 [4 per cell]
Pr  0.123  0.000  0.455 [4 per cell]
Pr  0.125  0.500  0.957 [4 per cell]
Tm  0.000  0.500  0.500 [2 per cell]

=====

2.
Pm4Pr11Tm9 | PBE-GGA | relaxed

Values from the calculation:
Crystal system = orthorhombic
Energy relative to the elements = 1.544 eV/f.u.
Fermi-level density of states = 1.2620 states/eV/atom

a = 16.981 Å, b = 25.741 Å, c = 3.716 Å
α = 90.00°, β = 90.00°, γ = 90.00°
Space group Cmmm (No. 65)
Asymmetric unit:
Pm  0.156  0.101  0.000 [8 per cell]
Pr  0.000  0.133  0.500 [4 per cell]
Pr  0.000  0.340  0.500 [4 per cell]
Pr  0.000  0.500  0.500 [2 per cell]
Pr  0.211  0.000  0.500 [4 per cell]
Pr  0.224  0.319  0.500 [8 per cell]
Tm  0.000  0.000  0.000 [2 per cell]
Tm  0.101  0.234  0.000 [8 per cell]
Tm  0.138  0.427  0.000 [8 per cell]

=====

3.
Pm4Pr6Tm | PBE-GGA | relaxed

Values from the calculation:
Crystal system = tetragonal
Energy relative to the elements = 3.000 eV/f.u.
Fermi-level density of states = 1.6655 states/eV/atom

a = 6.716 Å, b = 6.716 Å, c = 17.581 Å
α = 90.00°, β = 90.00°, γ = 90.00°
Space group I-42m (No. 121)
Asymmetric unit:
Pm  0.188  0.188  0.323 [8 per cell]
Pr  0.000  0.500  0.000 [4 per cell]
Pr  0.178  0.178  0.130 [8 per cell]
Tm  0.000  0.000  0.500 [2 per cell]

=====

4.
Pm3Pr5Tm2 | PBE-GGA | relaxed

Values from the calculation:
Crystal system = monoclinic
Energy relative to the elements = 1.651 eV/f.u.
Fermi-level density of states = 1.5843 states/eV/atom

a = 10.887 Å, b = 14.977 Å, c = 10.145 Å
α = 90.00°, β = 122.44°, γ = 90.00°
Space group C2/c (No. 15)
Asymmetric unit:
Pm  0.000  0.020  0.250 [4 per cell]
Pm  0.153  0.375  0.557 [8 per cell]
Pr  0.000  0.227  0.250 [4 per cell]
Pr  0.000  0.269  0.750 [4 per cell]
Pr  0.000  0.478  0.750 [4 per cell]
Pr  0.246  0.123  0.747 [8 per cell]
Tm  0.154  0.123  0.058 [8 per cell]

=====

5.
Pm4Pr3Tm2 | PBE-GGA | relaxed

Values from the calculation:
Crystal system = monoclinic
Energy relative to the elements = 0.972 eV/f.u.
Fermi-level density of states = 1.6211 states/eV/atom
ΔE to the lowest computed polymorph = 87.4 meV/atom

a = 11.286 Å, b = 5.961 Å, c = 9.273 Å
α = 90.00°, β = 101.04°, γ = 90.00°
Space group C2/m (No. 12)
Asymmetric unit:
Pm  0.171  0.000  0.473 [4 per cell]
Pm  0.224  0.500  0.859 [4 per cell]
Pr  0.000  0.500  0.500 [2 per cell]
Pr  0.114  0.500  0.177 [4 per cell]
Tm  0.058  0.000  0.823 [4 per cell]

=====

6.
Pm3PrTm2 | PBE-GGA | relaxed

Values from the calculation:
Crystal system = monoclinic
Energy relative to the elements = 0.040 eV/f.u.
Fermi-level density of states = 1.2707 states/eV/atom
ΔE to the lowest computed polymorph = 0.0 meV/atom

a = 6.265 Å, b = 3.624 Å, c = 17.589 Å
α = 90.00°, β = 96.76°, γ = 90.00°
Space group P2_1/m (No. 11)
Asymmetric unit:
Pm  0.028  0.250  0.333 [2 per cell]
Pm  0.140  0.750  0.164 [2 per cell]
Pm  0.252  0.750  0.502 [2 per cell]
Pr  0.361  0.750  0.832 [2 per cell]
Tm  0.250  0.250  0.000 [2 per cell]
Tm  0.475  0.250  0.667 [2 per cell]

=====

7.
Pm2Pr7Tm3 | PBE-GGA | relaxed

Values from the calculation:
Crystal system = monoclinic
Energy relative to the elements = 1.092 eV/f.u.
Fermi-level density of states = 1.4377 states/eV/atom
ΔE to the lowest computed polymorph = 0.0 meV/atom

a = 5.930 Å, b = 3.658 Å, c = 19.225 Å
α = 90.00°, β = 94.00°, γ = 90.00°
Space group P2/m (No. 10)
Asymmetric unit:
Pm  0.203  0.000  0.299 [2 per cell]
Pr  0.168  0.500  0.144 [2 per cell]
Pr  0.241  0.000  0.465 [2 per cell]
Pr  0.328  0.000  0.817 [2 per cell]
Pr  0.500  0.500  0.000 [1 per cell]
Tm  0.000  0.000  0.000 [1 per cell]
Tm  0.284  0.500  0.631 [2 per cell]

=====

8.
PmPr4Tm2 | PBE-GGA | relaxed

Values from the calculation:
Crystal system = orthorhombic
Energy relative to the elements = 1.781 eV/f.u.
Fermi-level density of states = 1.6157 states/eV/atom
ΔE to the lowest computed polymorph = 190.2 meV/atom

a = 6.935 Å, b = 11.564 Å, c = 12.157 Å
α = 90.00°, β = 90.00°, γ = 90.00°
Space group Imma (No. 74)
Asymmetric unit:
Pm  0.250  0.250  0.250 [4 per cell]
Pr  0.000  0.001  0.151 [8 per cell]
Pr  0.222  0.250  0.990 [8 per cell]
Tm  0.000  0.000  0.500 [4 per cell]
Tm  0.000  0.250  0.719 [4 per cell]

=====

9.
PmPr5Tm4 | PBE-GGA | relaxed

Values from the calculation:
Crystal system = tetragonal
Energy relative to the elements = 2.876 eV/f.u.
Fermi-level density of states = 1.5147 states/eV/atom
ΔE to the lowest computed polymorph = 227.1 meV/atom

a = 10.340 Å, b = 10.340 Å, c = 6.377 Å
α = 90.00°, β = 90.00°, γ = 90.00°
Space group I4 (No. 79)
Asymmetric unit:
Pm  0.000  0.000  0.000 [2 per cell]
Pr  0.000  0.000  0.459 [2 per cell]
Pr  0.147  0.763  0.729 [8 per cell]
Tm  0.050  0.650  0.227 [8 per cell]

=====

10.
Pm14PrTm | PBE-GGA | relaxed

Values from the calculation:
Crystal system = tetragonal
Energy relative to the elements = 0.221 eV/f.u.
Fermi-level density of states = 1.5003 states/eV/atom

a = 7.290 Å, b = 7.290 Å, c = 10.291 Å
α = 90.00°, β = 90.00°, γ = 90.00°
Space group P4/mmm (No. 123)
Asymmetric unit:
Pm  0.000  0.000  0.000 [1 per cell]
Pm  0.000  0.500  0.000 [2 per cell]
Pm  0.000  0.500  0.500 [2 per cell]
Pm  0.248  0.248  0.251 [8 per cell]
Pm  0.500  0.500  0.000 [1 per cell]
Pr  0.500  0.500  0.500 [1 per cell]
Tm  0.000  0.000  0.500 [1 per cell]

=====

11.
Pm3Pr5Tm3 | PBE-GGA | relaxed

Values from the calculation:
Crystal system = hexagonal
Energy relative to the elements = 3.369 eV/f.u.
Fermi-level density of states = 1.5224 states/eV/atom

a = 11.4060 Å, b = 11.4060 Å, c = 3.4731 Å
α = 90.00°, β = 90.00°, γ = 120.00°
Space group P-62m (No. 189)
Asymmetric unit:
Pm  0.0000  0.4023  0.0000 [3 per cell]
Pr  0.0000  0.6637  0.5000 [3 per cell]
Pr  0.3333  0.6667  0.5000 [2 per cell]
Tm  0.0000  0.1586  0.5000 [3 per cell]

=====

12.
Pm3Pr2Tm | PBE-GGA | relaxed

Values from the calculation:
Crystal system = monoclinic
Energy relative to the elements = 0.888 eV/f.u.
Fermi-level density of states = 1.8183 states/eV/atom
ΔE to the lowest computed polymorph = 0.0 meV/atom

a = 18.209 Å, b = 3.494 Å, c = 6.689 Å
α = 90.00°, β = 102.76°, γ = 90.00°
Space group C2/m (No. 12)
Asymmetric unit:
Pm  0.000  0.000  0.000 [2 per cell]
Pm  0.170  0.000  0.361 [4 per cell]
Pr  0.161  0.500  0.849 [4 per cell]
Tm  0.000  0.000  0.500 [2 per cell]